Entry from the Alexandria database: an optimized crystal structure of AcTl2BrO4 (GGA-PBE).

Results
Fermi-level density of states, states/eV/f.u.: 5.56
Size of the total moment, μB/f.u.: 0.00
Energy relative to the elements, uncorrected, eV per atom: -1.29
SG: P4/mmm

Unit cell a=4.166 b=4.166 c=9.289 alpha=90.00 beta=90.00 gamma=90.00
Atoms (fractional coordinates):
Ac1 0.000 0.000 0.000
Tl1 0.500 0.500 0.263
Tl2 0.500 0.500 0.737
Br1 0.000 0.000 0.500
O1 0.000 0.500 0.168
O2 0.000 0.500 0.832
O3 0.500 0.000 0.168
O4 0.500 0.000 0.832